# 1
DFT (PBE) results for crystalline MnCuWS2 at its relaxed geometry.

Spin magnetization ... 0.0 μB per formula unit
Total energy ... -29.237 eV/cell
Space group ... No. 123
Density of states at the Fermi level ... 4.18 states/eV/f.u.
V ... 85.2 Å³/cell

a = 4.230 Å, b = 4.762 Å, c = 4.230 Å
α = 90.00°, β = 90.00°, γ = 90.00°
Each line ends with the local moment (μB).
Element x y z (fractional)
1 S 0.000 0.000 0.500  0.01
2 S 0.500 0.000 0.000  0.03
3 Mn 0.000 0.000 0.000  0.98
4 Cu 0.500 0.500 0.500  -0.04
5 W 0.000 0.500 0.000  -0.85

# 2
DFT (PBE) results for crystalline YMnCuS2 at its relaxed geometry.

Spin magnetization ... 3.1 μB per formula unit
Total energy ... -30.296 eV/cell
Space group ... No. 123
Density of states at the Fermi level ... 2.56 states/eV/f.u.
V ... 93.4 Å³/cell

a = 4.579 Å, b = 4.454 Å, c = 4.579 Å
α = 90.00°, β = 90.00°, γ = 90.00°
Each line ends with the local moment (μB).
Element x y z (fractional)
1 Y 0.500 0.500 0.500  -0.02
2 S 0.000 0.000 0.500  0.01
3 S 0.500 0.000 0.000  0.03
4 Mn 0.000 0.000 0.000  2.92
5 Cu 0.000 0.500 0.000  0.08

What did the first record say?
DFT (PBE) results for crystalline MnCuWS2 at its relaxed geometry.

Spin magnetization ... 0.0 μB per formula unit
Total energy ... -29.237 eV/cell
Space group ... No. 123
Density of states at the Fermi level ... 4.18 states/eV/f.u.
V ... 85.2 Å³/cell

a = 4.230 Å, b = 4.762 Å, c = 4.230 Å
α = 90.00°, β = 90.00°, γ = 90.00°
Each line ends with the local moment (μB).
Element x y z (fractional)
1 S 0.000 0.000 0.500  0.01
2 S 0.500 0.000 0.000  0.03
3 Mn 0.000 0.000 0.000  0.98
4 Cu 0.500 0.500 0.500  -0.04
5 W 0.000 0.500 0.000  -0.85

Copy entry 1 word for word.
DFT (PBE) results for crystalline MnCuWS2 at its relaxed geometry.

Spin magnetization ... 0.0 μB per formula unit
Total energy ... -29.237 eV/cell
Space group ... No. 123
Density of states at the Fermi level ... 4.18 states/eV/f.u.
V ... 85.2 Å³/cell

a = 4.230 Å, b = 4.762 Å, c = 4.230 Å
α = 90.00°, β = 90.00°, γ = 90.00°
Each line ends with the local moment (μB).
Element x y z (fractional)
1 S 0.000 0.000 0.500  0.01
2 S 0.500 0.000 0.000  0.03
3 Mn 0.000 0.000 0.000  0.98
4 Cu 0.500 0.500 0.500  -0.04
5 W 0.000 0.500 0.000  -0.85

> The lowest density of states at the Fermi level belongs to which entry?

YMnCuS2